# 1
Entry from Alexandria via LeMat-Bulk: PrTmPu2Se4 after structural relaxation (GGA-PBE).

Unit cell a=7.1746 b=4.1262 c=7.2078 alpha=90.00 beta=109.22 gamma=90.00
Element x y z (fractional)
Pr  0.0000  0.0000  0.0000
Tm  0.5000  0.5000  0.0000
Pu  0.0000  0.5000  0.5000
Pu  0.5000  0.0000  0.5000
Se  0.2611  0.0000  0.7545
Se  0.2608  0.5000  0.2534
Se  0.7389  0.0000  0.2455
Se  0.7392  0.5000  0.7466

Output
The calculation puts the total magnetization at 11.68 μB per formula unit. The calculation puts the raw formation energy at -1655 meV per atom. The value obtained for the density of states at the Fermi level is 18.28 states/eV per cell. As for the symmetry: P2/m, No. 10. As for the density: 9178 kg/m3.

=====

# 2
Entry from Alexandria via LeMat-Bulk: Pr2Tm3PuSe6 after structural relaxation (GGA-PBE).

Unit cell a=9.2816 b=9.2816 c=8.3738 alpha=104.82 beta=104.82 gamma=25.28
Element x y z (fractional)
Pr  0.1667  0.1667  0.3338
Pr  0.8333  0.8333  0.6662
Tm  0.1678  0.1678  0.8362
Tm  0.5000  0.5000  0.5000
Tm  0.8322  0.8322  0.1638
Pu  0.5000  0.5000  0.0000
Se  0.0051  0.0051  0.7445
Se  0.3310  0.3310  0.9290
Se  0.3385  0.3385  0.4029
Se  0.6615  0.6615  0.5971
Se  0.6690  0.6690  0.0710
Se  0.9949  0.9949  0.2555

Output
The calculation puts the total magnetization at 6.03 μB per formula unit. The calculation puts the raw formation energy at -1725 meV per atom. The value obtained for the density of states at the Fermi level is 9.92 states/eV per cell. As for the symmetry: C2/m, No. 12. As for the density: 8415 kg/m3.

=====

# 3
Entry from Alexandria via LeMat-Bulk: Pr4Tm3PuSe8 after structural relaxation (GGA-PBE).

Unit cell a=8.4102 b=8.4102 c=8.4102 alpha=58.58 beta=58.58 gamma=58.58
Element x y z (fractional)
Pr  0.0000  0.0000  0.0000
Pr  0.0000  0.5000  0.5000
Pr  0.5000  0.0000  0.5000
Pr  0.5000  0.5000  0.0000
Tm  0.0000  0.0000  0.5000
Tm  0.0000  0.5000  0.0000
Tm  0.5000  0.0000  0.0000
Pu  0.5000  0.5000  0.5000
Se  0.2387  0.7462  0.7462
Se  0.2423  0.2423  0.2423
Se  0.2538  0.2538  0.7613
Se  0.2538  0.7613  0.2538
Se  0.7462  0.2387  0.7462
Se  0.7462  0.7462  0.2387
Se  0.7577  0.7577  0.7577
Se  0.7613  0.2538  0.2538

Output
The calculation puts the total magnetization at 5.66 μB per formula unit. The calculation puts the raw formation energy at -1751 meV per atom. The value obtained for the density of states at the Fermi level is 14.66 states/eV per cell. As for the symmetry: R-3m, No. 166. As for the density: 7942 kg/m3.

=====

> Which of these has the highest density of states at the Fermi level?

PrTmPu2Se4